(1)
# PBE CuHgP, optimized geometry
data_CuHgP
_cell_length_a 3.0589
_cell_length_b 3.0589
_cell_length_c 13.3312
_cell_angle_alpha 90.00
_cell_angle_beta 90.00
_cell_angle_gamma 90.00
_symmetry_space_group_name_H-M 'I 4 m m'
_symmetry_Int_Tables_number 107
_symmetry_space_group_name_Hall 'I 4 -2'
loop_
_atom_site_label
_atom_site_fract_x
_atom_site_fract_y
_atom_site_fract_z
_atom_site_occupancy
Cu1 0.0000 0.0000 0.0000 1
Hg1 0.0000 0.0000 0.2857 1
P1 0.0000 0.0000 0.5674 1
# * E_tot: -0.2178 Ry per atom
# * energy of formation from the pure elements: 0.3060 eV/atom
# * magnetic moment: 0.000 μB/cell

=====

(2)
# PBE ZrTl2Ir, optimized geometry
data_ZrTl2Ir
_cell_length_a 7.9523
_cell_length_b 7.9523
_cell_length_c 5.7731
_cell_angle_alpha 90.00
_cell_angle_beta 90.00
_cell_angle_gamma 90.00
_symmetry_space_group_name_H-M 'I -4 2 d'
_symmetry_Int_Tables_number 122
_symmetry_space_group_name_Hall 'I -4 2bw'
loop_
_atom_site_label
_atom_site_fract_x
_atom_site_fract_y
_atom_site_fract_z
_atom_site_occupancy
Zr1 0.0000 0.0000 0.0000 1
Tl1 0.2202 0.2500 0.6250 1
Ir1 0.0000 0.0000 0.5000 1
# * E_tot: -0.3827 Ry per atom
# * energy of formation from the pure elements: 0.3283 eV/atom
# * magnetic moment: 0.000 μB/cell
# * offset from the most stable computed form: 447 meV per atom